Entry 1:
# Ce3AsOs, optimized geometry, DFT PBE
# DOS(E_F) (states/eV per atom): 2.73
data_Ce3AsOs
_cell_length_a 8.206
_cell_length_b 3.904
_cell_length_c 8.468
_cell_angle_alpha 90.00
_cell_angle_beta 98.32
_cell_angle_gamma 90.00
_space_group_name_H-M_alt 'P 1 21/m 1'
_space_group_IT_number 11
loop_
_space_group_symop_operation_xyz
'x,y,z'
'-x,-y,-z'
'-x,y+1/2,-z'
'x,-y+1/2,z'
loop_
_atom_site_label
_atom_site_type_symbol
_atom_site_fract_x
_atom_site_fract_y
_atom_site_fract_z
Ce1 Ce 0.009 0.250 0.170
Ce2 Ce 0.304 0.750 0.613
Ce3 Ce 0.365 0.750 0.102
As1 As 0.337 0.250 0.363
Os1 Os 0.259 0.250 0.869

---

Entry 2:
# CeAs12Os4, optimized geometry, DFT PBE
# DOS(E_F) (states/eV per atom): 0.13
data_CeAs12Os4
_cell_length_a 8.621
_cell_length_b 8.621
_cell_length_c 8.621
_cell_angle_alpha 90.00
_cell_angle_beta 90.00
_cell_angle_gamma 90.00
_space_group_name_H-M_alt 'I m -3'
_space_group_IT_number 204
_space_group_name_Hall '-I 2 2 3'
loop_
_atom_site_label
_atom_site_type_symbol
_atom_site_fract_x
_atom_site_fract_y
_atom_site_fract_z
Ce1 Ce 0.000 0.000 0.000
As1 As 0.000 0.149 0.346
Os1 Os 0.250 0.250 0.250

---

Entry 3:
# Ce4AsOs2, optimized geometry, DFT PBE
# DOS(E_F) (states/eV per atom): 2.08
data_Ce4AsOs2
_cell_length_a 8.958
_cell_length_b 8.958
_cell_length_c 8.294
_cell_angle_alpha 90.00
_cell_angle_beta 90.00
_cell_angle_gamma 90.00
_space_group_name_H-M_alt 'I -4 2 d'
_space_group_IT_number 122
_space_group_name_Hall 'I -4 2bw'
loop_
_atom_site_label
_atom_site_type_symbol
_atom_site_fract_x
_atom_site_fract_y
_atom_site_fract_z
Ce1 Ce 0.066 0.685 0.429
As1 As 0.000 0.000 0.500
Os1 Os 0.136 0.750 0.125

---

How do the records compare in formation energy? In the order shown, they have -11.19; -8.46; -10.78 kcal/mol of atoms.